5
Lattice="3.380 0.000 0.001 1.684 4.341 0.003 1.669 -0.594 6.747" Properties=species:S:1:pos:R:3 comment="TeHPdRuI | Alexandria | GGA-PBE | relaxed" e_above_lowest_polymorph_kj_per_mol_fu=72 vol_a3_per_atom=19.8 energy_ev_per_atom=-4.34 pbc="T T T"
Te 2.128 -0.182 5.928
H 2.169 3.573 1.245
Pd 5.515 2.210 4.696
Ru 2.151 2.315 0.215
I 3.839 1.749 2.428



10
Lattice="6.914 0.000 0.010 0.000 3.493 0.000 -2.937 0.000 8.289" Properties=species:S:1:pos:R:3 comment="TeHPdRuI | Alexandria | GGA-PBE | relaxed" e_above_lowest_polymorph_kj_per_mol_fu=46 vol_a3_per_atom=20.0 energy_ev_per_atom=-4.40 pbc="T T T"
Te 4.976 0.000 4.640
Te 6.444 1.747 0.496
H -0.408 0.000 2.679
H -1.877 1.747 6.824
Pd 3.597 0.000 2.482
Pd 2.128 1.747 6.627
Ru -2.344 0.000 7.146
Ru -0.875 1.747 3.002
I 0.202 0.000 8.013
I 1.671 1.747 3.868



5
Lattice="3.636 0.000 -0.002 0.000 3.670 0.000 -1.581 0.000 7.541" Properties=species:S:1:pos:R:3 comment="TeHPdRuI | Alexandria | GGA-PBE | relaxed" e_above_lowest_polymorph_kj_per_mol_fu=25 vol_a3_per_atom=20.1 energy_ev_per_atom=-4.44 pbc="T T T"
Te 3.454 1.835 0.095
H 1.635 0.000 0.678
Pd 1.871 1.835 5.004
Ru 0.052 0.000 6.608
I 0.056 0.000 3.817



5
Lattice="-1.293 -3.727 1.843 3.922 2.281 0.908 -4.712 3.768 3.570" Properties=species:S:1:pos:R:3 comment="TeHPdRuI | Alexandria | GGA-PBE | relaxed" e_above_lowest_polymorph_kj_per_mol_fu=1 vol_a3_per_atom=21.8 energy_ev_per_atom=-4.49 pbc="T T T"
Te -3.747 2.516 4.810
H -1.520 -2.596 2.407
Pd -0.929 -1.045 2.962
Ru -5.273 0.448 4.760
I -0.028 1.397 3.714



10
Lattice="-5.885 0.102 4.988 1.642 -3.289 2.005 5.063 4.113 2.599" Properties=species:S:1:pos:R:3 comment="TeHPdRuI | Alexandria | GGA-PBE | relaxed" e_above_lowest_polymorph_kj_per_mol_fu=17 vol_a3_per_atom=21.6 energy_ev_per_atom=-4.46 pbc="T T T"
Te -3.399 1.667 5.518
Te -0.046 2.078 7.820
H -1.025 0.283 1.304
H 2.328 0.695 3.607
Pd 2.679 3.354 3.308
Pd 0.969 -0.347 3.011
Ru 0.283 0.330 0.310
Ru 3.636 0.742 2.612
I 0.089 2.286 3.679
I -1.622 -1.414 3.381



5
Lattice="3.591 0.020 0.020 -1.396 4.150 -0.013 -0.839 -1.545 6.672" Properties=species:S:1:pos:R:3 comment="TeHPdRuI | Alexandria | GGA-PBE | relaxed" e_above_lowest_polymorph_kj_per_mol_fu=70 vol_a3_per_atom=19.9 energy_ev_per_atom=-4.35 pbc="T T T"
Te 3.354 0.274 0.305
H 0.880 0.371 5.003
Pd -0.898 0.342 4.925
Ru 0.124 2.742 1.020
I 1.967 2.433 3.116



10
Lattice="7.652 0.000 -0.013 0.000 4.636 0.000 -2.646 0.000 6.337" Properties=species:S:1:pos:R:3 comment="TeHPdRuI | Alexandria | GGA-PBE | relaxed" e_above_lowest_polymorph_kj_per_mol_fu=0 vol_a3_per_atom=22.5 energy_ev_per_atom=-4.49 pbc="T T T"
Te -0.376 0.000 1.535
Te -1.699 2.318 4.704
H 4.592 0.000 5.107
H 5.915 2.318 1.938
Pd 0.771 0.000 3.934
Pd 2.094 2.318 0.765
Ru -1.611 0.000 5.801
Ru -0.288 2.318 2.632
I 3.749 0.000 0.450
I 2.426 2.318 3.619



5
Lattice="3.317 0.000 -0.003 0.000 3.582 0.021 -1.635 -0.083 8.426" Properties=species:S:1:pos:R:3 comment="TeHPdRuI | Alexandria | GGA-PBE | relaxed" e_above_lowest_polymorph_kj_per_mol_fu=32 vol_a3_per_atom=20.0 energy_ev_per_atom=-4.42 pbc="T T T"
Te 0.808 0.238 7.533
H 0.787 2.980 1.782
Pd 2.445 0.271 1.964
Ru 0.785 2.128 0.273
I 2.446 1.991 4.080



5
Lattice="-0.017 -4.489 -2.234 3.437 0.323 -0.674 1.065 -2.186 4.385" Properties=species:S:1:pos:R:3 comment="TcHPd2I | Alexandria | GGA-PBE | relaxed" e_above_lowest_polymorph_kj_per_mol_fu=0 vol_a3_per_atom=17.7 energy_ev_per_atom=-4.30 pbc="T T T"
I 2.243 -3.177 0.739
H 1.718 0.161 -0.337
Tc 0.000 0.000 0.000
Pd 0.533 -1.093 2.193
Pd -0.008 -2.245 -1.117



5
Lattice="-3.412 -0.208 -3.499 2.608 -3.834 -2.316 -2.495 -3.286 2.629" Properties=species:S:1:pos:R:3 comment="TcHPd2I | Alexandria | GGA-PBE | relaxed" e_above_lowest_polymorph_kj_per_mol_fu=248 vol_a3_per_atom=24.8 energy_ev_per_atom=-3.79 pbc="T T T"
I 1.304 -1.917 -1.158
H -1.650 -3.664 -1.593
Tc 0.000 0.000 0.000
Pd -1.248 -1.643 1.314
Pd -1.706 -0.104 -1.750



4
Lattice="3.292 0.000 0.000 0.000 3.292 0.000 0.000 0.000 6.697" Properties=species:S:1:pos:R:3 comment="PmH2I | Alexandria | GGA-PBE | relaxed" e_above_lowest_polymorph_kj_per_mol_fu=280 vol_a3_per_atom=18.1 energy_ev_per_atom=-3.44 pbc="T T T"
I 1.646 1.646 3.349
H 0.000 0.000 5.711
H 0.000 0.000 0.986
Pm 1.646 1.646 0.000



12
Lattice="-3.946 -0.907 0.744 4.753 -5.470 7.150 -1.722 10.804 4.031" Properties=species:S:1:pos:R:3 comment="Pm2HI3 | Alexandria | GGA-PBE | relaxed" e_above_lowest_polymorph_kj_per_mol_fu=4 vol_a3_per_atom=37.6 energy_ev_per_atom=-4.01 pbc="T T T"
Pm -0.850 7.210 4.278
Pm -0.065 -2.782 7.647
Pm 1.437 0.696 8.463
Pm -2.351 3.732 3.462
H -2.837 5.998 3.648
H 1.922 -1.570 8.277
I -0.901 2.522 9.677
I -0.014 1.906 2.248
I 1.939 -3.876 5.555
I -2.854 8.303 6.371
I 0.012 4.465 5.500
I -0.927 -0.037 6.425